Record 1
Material: Pr3Ho5Er2
Method: DFT, PBE
State: relaxed

Results
The formation energy from the elements is 0.19 eV per atom. Its final energy is -177.73 eV for the cell shown.

abc: 10.6966 16.0902 9.3856
angles: 90.00 124.56 90.00
Space group C2/c (No. 15)
Asymmetric unit:
Pr 0.0000 0.2352 0.2500 [4 per cell]
Pr 0.1435 0.1240 0.0439 [8 per cell]
Ho 0.0000 0.0277 0.2500 [4 per cell]
Ho 0.0000 0.2726 0.7500 [4 per cell]
Ho 0.0000 0.4696 0.7500 [4 per cell]
Ho 0.2386 0.3902 0.2303 [8 per cell]
Er 0.1513 0.3846 0.5471 [8 per cell]

Record 2
Material: HfGeIr
Method: DFT, PBE
State: relaxed

Results
The formation energy from the elements is -0.77 eV per atom. Its final energy is -25.75 eV for the cell shown.

abc: 4.3711 4.3711 3.0357
angles: 90.00 90.00 120.00
Space group P-6m2 (No. 187)
Asymmetric unit:
Hf 0.0000 0.0000 0.0000 [1 per cell]
Ge 0.6667 0.3333 0.5000 [1 per cell]
Ir 0.3333 0.6667 0.5000 [1 per cell]

Record 3
Material: CaTi2Al2
Method: DFT, PBE
State: relaxed

Results
The formation energy from the elements is -0.15 eV per atom. Its final energy is -52.07 eV for the cell shown.

abc: 8.2054 8.2054 2.9127
angles: 90.00 90.00 90.00
Space group P4/mbm (No. 127)
Asymmetric unit:
Ca 0.0000 0.0000 0.0000 [2 per cell]
Ti 0.1133 0.3867 0.0000 [4 per cell]
Al 0.1782 0.6782 0.5000 [4 per cell]

Record 4
Material: La2BrCl
Method: DFT, PBE
State: relaxed

Results
The value obtained for the formation energy from raw total energies is -1.370 eV/atom. Its final energy is -18.85 eV for the cell shown.

abc: 4.2042 4.2042 6.3180
angles: 90.00 90.00 90.00
Space group P4mm (No. 99)
Asymmetric unit:
La 0.0000 0.0000 0.0000 [1 per cell]
La 0.5000 0.5000 0.3905 [1 per cell]
Br 0.0000 0.0000 0.5056 [1 per cell]
Cl 0.5000 0.5000 0.8983 [1 per cell]